1.
This record from Alexandria via LeMat-Bulk describes a geometry-optimized MnGe2 structure. The functional is PBE-GGA.

Lattice parameters (Å, degrees): 4.900 4.900 4.900 105.18 105.18 118.45
Atoms (fractional coordinates):
Mn: 0.250 0.250 0.000
Mn: 0.750 0.750 0.000
Ge: 0.158 0.658 0.815
Ge: 0.342 0.158 0.500
Ge: 0.658 0.842 0.500
Ge: 0.842 0.342 0.185

Calculated values
Its calculated formation energy is -0.05 eV/atom. The final energy is -6.18 eV per atom. The symmetry is No. 140.

***

2.
This record from Alexandria via LeMat-Bulk describes a geometry-optimized Mn5Ge structure. The functional is PBE-GGA.

Lattice parameters (Å, degrees): 5.345 5.345 3.726 90.00 90.00 138.41
Atoms (fractional coordinates):
Mn: 0.000 0.000 0.000
Mn: 0.173 0.827 0.500
Mn: 0.324 0.676 0.000
Mn: 0.676 0.324 0.000
Mn: 0.827 0.173 0.500
Ge: 0.500 0.500 0.500

Calculated values
Its calculated formation energy is -0.04 eV/atom. The final energy is -8.45 eV per atom. The symmetry is No. 65.

***

3.
This record from Alexandria via LeMat-Bulk describes a geometry-optimized MnGe2Mo structure. The functional is PBE-GGA.

Lattice parameters (Å, degrees): 4.370 4.370 4.370 60.00 60.00 60.00
Atoms (fractional coordinates):
Mn: 0.000 0.000 0.000
Ge: 0.250 0.250 0.250
Ge: 0.750 0.750 0.750
Mo: 0.500 0.500 0.500

Calculated values
Its calculated formation energy is 0.10 eV/atom. The final energy is -7.21 eV per atom. For the energy above the most stable polymorph in this dataset, the calculation gives 0.00 kcal/mol of atoms. The symmetry is No. 225.

***

4.
This record from Alexandria via LeMat-Bulk describes a geometry-optimized Mn3GeMo structure. The functional is PBE-GGA.

Lattice parameters (Å, degrees): 4.694 4.694 4.694 90.00 90.00 90.00
Atoms (fractional coordinates):
Mn: 0.000 0.000 0.500
Mn: 0.000 0.500 0.000
Mn: 0.500 0.000 0.000
Ge: 0.500 0.500 0.500
Mo: 0.000 0.000 0.000

Calculated values
Its calculated formation energy is 1.30 eV/atom. The final energy is -7.29 eV per atom. For the energy above the most stable polymorph in this dataset, the calculation gives 0.00 kcal/mol of atoms. The symmetry is No. 221.

***

5.
This record from Alexandria via LeMat-Bulk describes a geometry-optimized MnGeMo structure. The functional is PBE-GGA.

Lattice parameters (Å, degrees): 4.126 4.126 2.797 90.00 90.00 120.00
Atoms (fractional coordinates):
Mn: 0.000 0.000 0.000
Ge: 0.667 0.333 0.000
Mo: 0.333 0.667 0.500

Calculated values
Its calculated formation energy is 0.00 eV/atom. The final energy is -8.20 eV per atom. The symmetry is No. 187.

***

6.
This record from Alexandria via LeMat-Bulk describes a geometry-optimized MnGe2Mo structure. The functional is PBE-GGA.

Lattice parameters (Å, degrees): 9.178 9.178 9.178 18.54 18.54 18.54
Atoms (fractional coordinates):
Mn: 0.000 0.000 0.000
Ge: 0.091 0.091 0.091
Ge: 0.909 0.909 0.909
Mo: 0.500 0.500 0.500

Calculated values
Its calculated formation energy is 0.30 eV/atom. The final energy is -7.01 eV per atom. For the energy above the most stable polymorph in this dataset, the calculation gives 4.68 kcal/mol of atoms. The symmetry is No. 166.

***

7.
This record from Alexandria via LeMat-Bulk describes a geometry-optimized Mn2Ge2Mo structure. The functional is PBE-GGA.

Lattice parameters (Å, degrees): 7.143 7.143 2.729 90.00 90.00 90.00
Atoms (fractional coordinates):
Mn: 0.138 0.362 0.000
Mn: 0.362 0.862 0.000
Mn: 0.638 0.138 0.000
Mn: 0.862 0.638 0.000
Ge: 0.158 0.658 0.500
Ge: 0.342 0.158 0.500
Ge: 0.658 0.842 0.500
Ge: 0.842 0.342 0.500
Mo: 0.000 0.000 0.500
Mo: 0.500 0.500 0.500

Calculated values
Its calculated formation energy is 0.02 eV/atom. The final energy is -7.66 eV per atom. The symmetry is No. 127.

***

8.
This record from Alexandria via LeMat-Bulk describes a geometry-optimized MnGe2Mo structure. The functional is PBE-GGA.

Lattice parameters (Å, degrees): 6.040 6.040 6.040 35.06 35.06 35.06
Atoms (fractional coordinates):
Mn: 0.000 0.000 0.000
Ge: 0.595 0.595 0.595
Ge: 0.753 0.753 0.753
Mo: 0.178 0.178 0.178

Calculated values
Its calculated formation energy is 0.18 eV/atom. The final energy is -7.13 eV per atom. For the energy above the most stable polymorph in this dataset, the calculation gives 1.88 kcal/mol of atoms. The symmetry is No. 160.

***

9.
This record from Alexandria via LeMat-Bulk describes a geometry-optimized MnGeMo3 structure. The functional is PBE-GGA.

Lattice parameters (Å, degrees): 4.503 4.503 4.503 90.00 90.00 90.00
Atoms (fractional coordinates):
Mn: 0.000 0.000 0.000
Ge: 0.500 0.500 0.500
Mo: 0.000 0.000 0.500
Mo: 0.000 0.500 0.000
Mo: 0.500 0.000 0.000

Calculated values
Its calculated formation energy is 1.11 eV/atom. The final energy is -8.14 eV per atom. The symmetry is No. 221.

***

10.
This record from Alexandria via LeMat-Bulk describes a geometry-optimized MnGe2Mo2 structure. The functional is PBE-GGA.

Lattice parameters (Å, degrees): 6.719 6.719 3.406 90.00 90.00 90.00
Atoms (fractional coordinates):
Mn: 0.000 0.000 0.000
Mn: 0.500 0.500 0.000
Ge: 0.142 0.358 0.000
Ge: 0.358 0.858 0.000
Ge: 0.642 0.142 0.000
Ge: 0.858 0.642 0.000
Mo: 0.157 0.657 0.500
Mo: 0.343 0.157 0.500
Mo: 0.657 0.843 0.500
Mo: 0.843 0.343 0.500

Calculated values
Its calculated formation energy is 0.05 eV/atom. The final energy is -7.96 eV per atom. The symmetry is No. 127.

***

11.
This record from Alexandria via LeMat-Bulk describes a geometry-optimized MnGeMo structure. The functional is PBE-GGA.

Lattice parameters (Å, degrees): 6.976 6.976 6.976 149.72 149.72 43.35
Atoms (fractional coordinates):
Mn: 0.000 0.500 0.500
Mn: 0.500 0.000 0.500
Ge: 0.133 0.133 0.000
Ge: 0.867 0.867 0.000
Mo: 0.333 0.333 0.000
Mo: 0.667 0.667 0.000

Calculated values
Its calculated formation energy is -0.05 eV/atom. The final energy is -8.26 eV per atom. The symmetry is No. 139.

***

12.
This record from Alexandria via LeMat-Bulk describes a geometry-optimized Mn3GeMo structure. The functional is PBE-GGA.

Lattice parameters (Å, degrees): 4.245 4.245 4.245 90.00 90.00 90.00
Atoms (fractional coordinates):
Mn: 0.000 0.000 0.500
Mn: 0.000 0.500 0.000
Mn: 0.500 0.000 0.000
Ge: 0.000 0.000 0.000
Mo: 0.500 0.500 0.500

Calculated values
Its calculated formation energy is 1.31 eV/atom. The final energy is -7.28 eV per atom. For the energy above the most stable polymorph in this dataset, the calculation gives 0.22 kcal/mol of atoms. The symmetry is No. 221.

***

- Among the records above, which one has the lowest final energy?
  Mn5Ge

***

- What is the final energy in the eleventh record?
  -8.26 eV per atom

***

What did the third record say?
This record from Alexandria via LeMat-Bulk describes a geometry-optimized MnGe2Mo structure. The functional is PBE-GGA.

Lattice parameters (Å, degrees): 4.370 4.370 4.370 60.00 60.00 60.00
Atoms (fractional coordinates):
Mn: 0.000 0.000 0.000
Ge: 0.250 0.250 0.250
Ge: 0.750 0.750 0.750
Mo: 0.500 0.500 0.500

Calculated values
Its calculated formation energy is 0.10 eV/atom. The final energy is -7.21 eV per atom. For the energy above the most stable polymorph in this dataset, the calculation gives 0.00 kcal/mol of atoms. The symmetry is No. 225.

***

Copy entry 4 word for word.
This record from Alexandria via LeMat-Bulk describes a geometry-optimized Mn3GeMo structure. The functional is PBE-GGA.

Lattice parameters (Å, degrees): 4.694 4.694 4.694 90.00 90.00 90.00
Atoms (fractional coordinates):
Mn: 0.000 0.000 0.500
Mn: 0.000 0.500 0.000
Mn: 0.500 0.000 0.000
Ge: 0.500 0.500 0.500
Mo: 0.000 0.000 0.000

Calculated values
Its calculated formation energy is 1.30 eV/atom. The final energy is -7.29 eV per atom. For the energy above the most stable polymorph in this dataset, the calculation gives 0.00 kcal/mol of atoms. The symmetry is No. 221.